*P*
Compound: K2GaPt2
Source: Alexandria via LeMat-Bulk
Functional: PBE
Structure: relaxed

Cell lengths 6.0107, 6.0107, 7.5795 Å; angles 83.58, 83.58, 69.52 degrees
Element x y z (fractional)
K: 0.4824 0.2329 0.1245
K: 0.7671 0.5176 0.3755
K: 0.5176 0.7671 0.8755
K: 0.2329 0.4824 0.6245
Ga: 0.0406 0.9594 0.2500
Ga: 0.9594 0.0406 0.7500
Pt: 0.7194 0.0068 0.5083
Pt: 0.9932 0.2806 0.9917
Pt: 0.2806 0.9932 0.4917
Pt: 0.0068 0.7194 0.0083

Output
As for the crystal system: monoclinic. As for the space group: C2/c.



*Q*
Compound: K2GaPt2
Source: Alexandria via LeMat-Bulk
Functional: PBE
Structure: relaxed

Cell lengths 6.5175, 6.5175, 5.5992 Å; angles 90.00, 90.00, 90.00 degrees
Element x y z (fractional)
K: 0.1749 0.6749 0.5000
K: 0.6749 0.8251 0.5000
K: 0.8251 0.3251 0.5000
K: 0.3251 0.1749 0.5000
Ga: 0.0000 0.0000 0.0000
Ga: 0.5000 0.5000 0.0000
Pt: 0.3579 0.8579 0.0000
Pt: 0.8579 0.6421 0.0000
Pt: 0.6421 0.1421 0.0000
Pt: 0.1421 0.3579 0.0000

Output
As for the crystal system: tetragonal. As for the space group: P4/mbm.



Tell me which of them is the least stable. Sure, it is *Q*.



*P*
Compound: KGa3Pt3
Source: Alexandria via LeMat-Bulk
Functional: PBE
Structure: relaxed

Cell lengths 6.9832, 6.9832, 9.1100 Å; angles 67.46, 67.46, 60.00 degrees
Element x y z (fractional)
K: 0.3319 0.3319 0.0044
K: 0.6681 0.6681 0.9956
Ga: 0.1339 0.5707 0.3360
Ga: 0.9595 0.1339 0.3360
Ga: 0.5707 0.9595 0.3360
Ga: 0.4293 0.0405 0.6640
Ga: 0.0405 0.8661 0.6640
Ga: 0.8661 0.4293 0.6640
Pt: 0.4599 0.6922 0.6406
Pt: 0.6922 0.2073 0.6406
Pt: 0.2073 0.4599 0.6406
Pt: 0.7927 0.5401 0.3594
Pt: 0.3078 0.7927 0.3594
Pt: 0.5401 0.3078 0.3594

Output
As for the crystal system: trigonal. As for the space group: R-3.



*Q*
Compound: KGa3Pt3
Source: Alexandria via LeMat-Bulk
Functional: PBE
Structure: relaxed

Cell lengths 8.3912, 8.3912, 8.3912 Å; angles 90.00, 90.00, 90.00 degrees
Element x y z (fractional)
K: 0.0583 0.5583 0.9417
K: 0.9417 0.0583 0.5583
K: 0.4417 0.4417 0.4417
K: 0.5583 0.9417 0.0583
Ga: 0.7002 0.5308 0.1412
Ga: 0.9691 0.8588 0.2002
Ga: 0.1412 0.7002 0.5308
Ga: 0.0309 0.3588 0.2998
Ga: 0.2998 0.0308 0.3588
Ga: 0.2002 0.9692 0.8588
Ga: 0.8588 0.2002 0.9692
Ga: 0.4692 0.6412 0.7998
Ga: 0.3588 0.2998 0.0308
Ga: 0.5308 0.1412 0.7002
Ga: 0.7998 0.4691 0.6412
Ga: 0.6412 0.7998 0.4692
Pt: 0.7595 0.2595 0.2405
Pt: 0.9171 0.9172 0.9172
Pt: 0.8703 0.6297 0.3703
Pt: 0.2405 0.7595 0.2595
Pt: 0.1297 0.1297 0.1297
Pt: 0.3703 0.8703 0.6297
Pt: 0.0829 0.4172 0.5828
Pt: 0.2595 0.2405 0.7595
Pt: 0.6297 0.3703 0.8703
Pt: 0.7405 0.7405 0.7405
Pt: 0.5828 0.0828 0.4172
Pt: 0.4172 0.5828 0.0828

Output
As for the crystal system: cubic. As for the space group: P2_13.



Tell me which of them is the least stable. Sure, it is *Q*.



*P*
Compound: KRbGa2Pt
Source: Alexandria via LeMat-Bulk
Functional: PBE
Structure: relaxed

Cell lengths 4.9489, 4.9489, 6.1376 Å; angles 90.00, 90.00, 90.00 degrees
Element x y z (fractional)
K: 0.0000 0.0000 0.5000
Ga: 0.0000 0.5000 0.0000
Ga: 0.5000 0.0000 0.0000
Rb: 0.5000 0.5000 0.5000
Pt: 0.0000 0.0000 0.0000

Output
As for the crystal system: tetragonal. As for the space group: P4/mmm.



*Q*
Compound: KRbGa2Pt
Source: Alexandria via LeMat-Bulk
Functional: PBE
Structure: relaxed

Cell lengths 4.9553, 4.9553, 6.3060 Å; angles 90.00, 90.00, 90.00 degrees
Element x y z (fractional)
K: 0.5000 0.5000 0.5000
Ga: 0.0000 0.5000 0.0000
Ga: 0.5000 0.0000 0.0000
Rb: 0.0000 0.0000 0.5000
Pt: 0.0000 0.0000 0.0000

Output
As for the crystal system: tetragonal. As for the space group: P4/mmm.



Tell me which of them is the least stable. Sure, it is *Q*.



*P*
Compound: K2RbGa2
Source: Alexandria via LeMat-Bulk
Functional: PBE
Structure: relaxed

Cell lengths 4.0146, 4.0146, 14.6672 Å; angles 82.13, 82.13, 90.00 degrees
Element x y z (fractional)
K: 0.3550 0.3550 0.2899
K: 0.6450 0.6450 0.7101
Ga: 0.7500 0.2500 0.5000
Ga: 0.2500 0.7500 0.5000
Rb: 0.0000 0.0000 0.0000

Output
As for the crystal system: tetragonal. As for the space group: I4/mmm.



*Q*
Compound: K2RbGa2
Source: Alexandria via LeMat-Bulk
Functional: PBE
Structure: relaxed

Cell lengths 9.4958, 9.4958, 4.8475 Å; angles 90.00, 90.00, 90.00 degrees
Element x y z (fractional)
K: 0.1813 0.6813 0.5000
K: 0.6813 0.8187 0.5000
K: 0.8187 0.3187 0.5000
K: 0.3187 0.1813 0.5000
Ga: 0.4072 0.9072 0.0000
Ga: 0.9072 0.5928 0.0000
Ga: 0.5928 0.0928 0.0000
Ga: 0.0928 0.4072 0.0000
Rb: 0.0000 0.0000 0.0000
Rb: 0.5000 0.5000 0.0000

Output
As for the crystal system: tetragonal. As for the space group: P4/mbm.



*R*
Compound: K2RbGa2
Source: Alexandria via LeMat-Bulk
Functional: PBE
Structure: relaxed

Cell lengths 10.5875, 10.5875, 3.6419 Å; angles 90.00, 90.00, 90.00 degrees
Element x y z (fractional)
K: 0.3648 0.8648 0.0000
K: 0.8648 0.6352 0.0000
K: 0.6352 0.1352 0.0000
K: 0.1352 0.3648 0.0000
Ga: 0.1596 0.6596 0.5000
Ga: 0.6596 0.8404 0.5000
Ga: 0.8404 0.3404 0.5000
Ga: 0.3404 0.1596 0.5000
Rb: 0.0000 0.0000 0.0000
Rb: 0.5000 0.5000 0.0000

Output
As for the crystal system: tetragonal. As for the space group: P4/mbm.



Tell me which of them is the least stable. Sure, it is *R*.



*P*
Compound: KRbGa
Source: Alexandria via LeMat-Bulk
Functional: PBE
Structure: relaxed

Cell lengths 4.6147, 9.9526, 6.9795 Å; angles 104.83, 90.00, 90.00 degrees
Element x y z (fractional)
K: 0.8121 0.7431 0.3878
K: 0.3122 0.4146 0.7852
Rb: 0.8121 0.2591 0.2333
Rb: 0.3121 0.8986 0.9398
Ga: 0.8118 0.1032 0.6601
Ga: 0.3118 0.0547 0.5137

Output
As for the crystal system: monoclinic. As for the space group: P2_1/m.



*Q*
Compound: KRbGa
Source: Alexandria via LeMat-Bulk
Functional: PBE
Structure: relaxed

Cell lengths 4.6230, 4.6217, 17.6126 Å; angles 89.98, 82.39, 60.02 degrees
Element x y z (fractional)
K: 0.0757 0.2330 0.4268
K: 0.2565 0.1430 0.1547
Rb: 0.5804 0.9791 0.6693
Rb: 0.7485 0.3973 0.9121
Ga: 0.8328 0.8547 0.2909
Ga: 0.4994 0.5212 0.2909

Output
As for the crystal system: triclinic. As for the space group: P1.



Tell me which of them is the least stable. Sure, it is *P*.



*P*
Compound: K2Rb2Ga
Source: Alexandria via LeMat-Bulk
Functional: PBE
Structure: relaxed

Cell lengths 9.4768, 9.4768, 7.2697 Å; angles 90.00, 90.00, 90.00 degrees
Element x y z (fractional)
K: 0.1833 0.6833 0.5000
K: 0.6833 0.8167 0.5000
K: 0.8167 0.3167 0.5000
K: 0.3167 0.1833 0.5000
Ga: 0.0000 0.0000 0.0000
Ga: 0.5000 0.5000 0.0000
Rb: 0.3422 0.8422 0.0000
Rb: 0.8422 0.6578 0.0000
Rb: 0.6578 0.1578 0.0000
Rb: 0.1578 0.3422 0.0000

Output
As for the crystal system: tetragonal. As for the space group: P4/mbm.



*Q*
Compound: K2Rb2Ga
Source: Alexandria via LeMat-Bulk
Functional: PBE
Structure: relaxed

Cell lengths 5.5714, 5.5714, 11.8583 Å; angles 76.41, 76.41, 90.00 degrees
Element x y z (fractional)
K: 0.4189 0.4189 0.1621
K: 0.5811 0.5811 0.8379
Ga: 0.0000 0.0000 0.0000
Rb: 0.7500 0.2500 0.5000
Rb: 0.2500 0.7500 0.5000

Output
As for the crystal system: tetragonal. As for the space group: I4/mmm.



*R*
Compound: K2Rb2Ga
Source: Alexandria via LeMat-Bulk
Functional: PBE
Structure: relaxed

Cell lengths 9.2534, 9.2534, 7.3817 Å; angles 90.00, 90.00, 90.00 degrees
Element x y z (fractional)
K: 0.3404 0.8404 0.0000
K: 0.8404 0.6596 0.0000
K: 0.6596 0.1596 0.0000
K: 0.1596 0.3404 0.0000
Ga: 0.0000 0.0000 0.0000
Ga: 0.5000 0.5000 0.0000
Rb: 0.1874 0.6874 0.5000
Rb: 0.6874 0.8126 0.5000
Rb: 0.8126 0.3126 0.5000
Rb: 0.3126 0.1874 0.5000

Output
As for the crystal system: tetragonal. As for the space group: P4/mbm.



Tell me which of them is the least stable. Sure, it is *Q*.



*P*
Compound: KRb3Ga
Source: Alexandria via LeMat-Bulk
Functional: PBE
Structure: relaxed

Cell lengths 7.6938, 7.6938, 7.6938 Å; angles 90.00, 90.00, 90.00 degrees
Element x y z (fractional)
K: 0.0000 0.0000 0.0000
Ga: 0.5000 0.5000 0.5000
Rb: 0.0000 0.5000 0.0000
Rb: 0.0000 0.0000 0.5000
Rb: 0.5000 0.0000 0.0000

Output
As for the crystal system: cubic. As for the space group: Pm-3m.



*Q*
Compound: KRb3Ga
Source: Alexandria via LeMat-Bulk
Functional: PBE
Structure: relaxed

Cell lengths 7.1195, 7.1195, 7.1195 Å; angles 90.00, 90.00, 90.00 degrees
Element x y z (fractional)
K: 0.5000 0.5000 0.5000
Ga: 0.0000 0.0000 0.0000
Rb: 0.0000 0.5000 0.0000
Rb: 0.0000 0.0000 0.5000
Rb: 0.5000 0.0000 0.0000

Output
As for the crystal system: cubic. As for the space group: Pm-3m.



Tell me which of them is the least stable. Sure, it is *P*.



*P*
Compound: K2RbTiGa
Source: Alexandria via LeMat-Bulk
Functional: PBE
Structure: relaxed

Cell lengths 6.7707, 6.0758, 6.7707 Å; angles 90.00, 90.00, 90.00 degrees
Element x y z (fractional)
K: 0.0000 0.0000 0.5000
K: 0.5000 0.0000 0.0000
Ga: 0.5000 0.5000 0.5000
Rb: 0.0000 0.0000 0.0000
Ti: 0.0000 0.5000 0.0000

Output
As for the crystal system: tetragonal. As for the space group: P4/mmm.



*Q*
Compound: K2RbTiGa
Source: Alexandria via LeMat-Bulk
Functional: PBE
Structure: relaxed

Cell lengths 6.7297, 5.2542, 6.7297 Å; angles 90.00, 90.00, 90.00 degrees
Element x y z (fractional)
K: 0.0000 0.0000 0.5000
K: 0.5000 0.0000 0.0000
Ga: 0.0000 0.0000 0.0000
Rb: 0.5000 0.5000 0.5000
Ti: 0.0000 0.5000 0.0000

Output
As for the crystal system: tetragonal. As for the space group: P4/mmm.



Tell me which of them is the least stable. Sure, it is *P*.



*P*
Compound: KGa2Re
Source: Alexandria via LeMat-Bulk
Functional: PBE
Structure: relaxed

Cell lengths 6.2667, 6.2667, 8.5089 Å; angles 68.39, 68.39, 90.00 degrees
Element x y z (fractional)
Re: 0.0000 0.0000 0.0000
Re: 0.7500 0.2500 0.5000
K: 0.5000 0.5000 0.0000
K: 0.2500 0.7500 0.5000
Ga: 0.8749 0.1250 0.2500
Ga: 0.8751 0.6250 0.2500
Ga: 0.3750 0.1251 0.7500
Ga: 0.8750 0.1249 0.7500

Output
As for the crystal system: tetragonal. As for the space group: I4_1/amd.



*Q*
Compound: KGa2Re
Source: Alexandria via LeMat-Bulk
Functional: PBE
Structure: relaxed

Cell lengths 4.7571, 4.7571, 4.7571 Å; angles 60.00, 60.00, 60.00 degrees
Element x y z (fractional)
Re: 0.5000 0.5000 0.5000
K: 0.0000 0.0000 0.0000
Ga: 0.2500 0.2500 0.2500
Ga: 0.7500 0.7500 0.7500

Output
As for the crystal system: cubic. As for the space group: Fm-3m.



Tell me which of them is the least stable. Sure, it is *Q*.



*P*
Compound: KGa3Re
Source: Alexandria via LeMat-Bulk
Functional: PBE
Structure: relaxed

Cell lengths 4.9304, 4.9304, 4.9304 Å; angles 90.00, 90.00, 90.00 degrees
Element x y z (fractional)
Re: 0.0000 0.0000 0.0000
K: 0.5000 0.5000 0.5000
Ga: 0.0000 0.5000 0.0000
Ga: 0.0000 0.0000 0.5000
Ga: 0.5000 0.0000 0.0000

Output
As for the crystal system: cubic. As for the space group: Pm-3m.



*Q*
Compound: KGa3Re
Source: Alexandria via LeMat-Bulk
Functional: PBE
Structure: relaxed

Cell lengths 5.3791, 5.3791, 5.3791 Å; angles 90.00, 90.00, 90.00 degrees
Element x y z (fractional)
Re: 0.5000 0.5000 0.5000
K: 0.0000 0.0000 0.0000
Ga: 0.0000 0.5000 0.0000
Ga: 0.0000 0.0000 0.5000
Ga: 0.5000 0.0000 0.0000

Output
As for the crystal system: cubic. As for the space group: Pm-3m.



Tell me which of them is the least stable. Sure, it is *Q*.



*P*
Compound: K2GaRh2
Source: Alexandria via LeMat-Bulk
Functional: PBE
Structure: relaxed

Cell lengths 9.6447, 9.6447, 2.6580 Å; angles 90.00, 90.00, 90.00 degrees
Element x y z (fractional)
K: 0.3750 0.8750 0.0000
K: 0.8750 0.6250 0.0000
K: 0.6250 0.1250 0.0000
K: 0.1250 0.3750 0.0000
Rh: 0.1762 0.6762 0.5000
Rh: 0.6762 0.8238 0.5000
Rh: 0.8238 0.3238 0.5000
Rh: 0.3238 0.1762 0.5000
Ga: 0.0000 0.0000 0.0000
Ga: 0.5000 0.5000 0.0000

Output
As for the crystal system: tetragonal. As for the space group: P4/mbm.



*Q*
Compound: K2GaRh2
Source: Alexandria via LeMat-Bulk
Functional: PBE
Structure: relaxed

Cell lengths 3.5340, 3.5340, 11.5018 Å; angles 81.16, 81.16, 90.00 degrees
Element x y z (fractional)
K: 0.3783 0.3783 0.2433
K: 0.6217 0.6217 0.7567
Rh: 0.7500 0.2500 0.5000
Rh: 0.2500 0.7500 0.5000
Ga: 0.0000 0.0000 0.0000

Output
As for the crystal system: tetragonal. As for the space group: I4/mmm.



Tell me which of them is the least stable. Sure, it is *P*.